La4BiTeAs2 | PBE | optimized geometry

The structure belongs to space group P2/m (No. 10); the cell edges are 7.758, 4.484 and 7.875 Å and the angles 90.00°, 109.14° and 90.00°. The inequivalent atoms are La at (0.241, 0.000, 0.227), La at (0.257, 0.500, 0.771), Bi at (0.000, 0.000, 0.500), Te at (0.500, 0.500, 0.500), As at (0.000, 0.500, 0.000) and As at (0.500, 0.000, 0.000).

Its uncorrected formation energy is -143 kJ per mole of atoms. The calculation puts the total magnetization at 0.0 μB/f.u.